VASP calculation (PBE) on crystalline LiCrAsPd at its relaxed geometry. Values from VASP.

```
&SYSTEM
  ibrav = 0, nat = 4, ntyp = 4
/
ATOMIC_SPECIES
Cr 52.00 Cr.upf
Pd 106.42 Pd.upf
As 74.92 As.upf
Li 6.94 Li.upf
ATOMIC_POSITIONS angstrom
Cr -0.868 -5.221 0.498
Pd -0.434 -2.610 0.249
As -1.303 -7.831 0.746
Li 0.000 0.000 0.000
CELL_PARAMETERS angstrom
-2.913 -3.018 1.116
-0.117 -3.790 -2.112
1.293 -3.634 1.990
```

Summary:
calculated total energy	-22.41	eV for the cell shown
SG	No. 216
calculated formation energy	-99	kJ/mol of formula units